1.
Entry from Alexandria: a relaxed Ba3NaV crystal (GGA-PBE).

Results
- Crystal system: cubic
- Space-group type: Pm-3m (221)
- Excess energy over the best structure of this formula in the dataset: 0 meV/atom
- Total moment: 5.045 μB per cell
- Calculated total energy: -13.54 eV/cell

Cell: 6.6179 6.6179 6.6179 Å, 90.00 90.00 90.00°
Sites, in units of the cell vectors:
Na (0.5000, 0.5000, 0.5000)
Ba (0.0000, 0.5000, 0.0000)
Ba (0.0000, 0.0000, 0.5000)
Ba (0.5000, 0.0000, 0.0000)
V (0.0000, 0.0000, 0.0000)

2.
Entry from Alexandria: a relaxed BaNa3V crystal (GGA-PBE).

Results
- Crystal system: cubic
- Space-group type: Pm-3m (221)
- Excess energy over the best structure of this formula in the dataset: 726 meV/atom
- Total moment: 3.625 μB per cell
- Calculated total energy: -7.90 eV/cell

Cell: 6.4507 6.4507 6.4507 Å, 90.00 90.00 90.00°
Sites, in units of the cell vectors:
Na (0.0000, 0.5000, 0.0000)
Na (0.0000, 0.0000, 0.5000)
Na (0.5000, 0.0000, 0.0000)
Ba (0.0000, 0.0000, 0.0000)
V (0.5000, 0.5000, 0.5000)

3.
Entry from Alexandria: a relaxed Ba3NaW crystal (GGA-PBE).

Results
- Crystal system: cubic
- Space-group type: Pm-3m (221)
- Excess energy over the best structure of this formula in the dataset: 0 meV/atom
- Total moment: 0.000 μB per cell
- Calculated total energy: -16.06 eV/cell

Cell: 6.1832 6.1832 6.1832 Å, 90.00 90.00 90.00°
Sites, in units of the cell vectors:
Na (0.5000, 0.5000, 0.5000)
Ba (0.0000, 0.5000, 0.0000)
Ba (0.0000, 0.0000, 0.5000)
Ba (0.5000, 0.0000, 0.0000)
W (0.0000, 0.0000, 0.0000)

4.
Entry from Alexandria: a relaxed BaNa2W crystal (GGA-PBE).

Results
- Crystal system: cubic
- Space-group type: Fm-3m (225)
- Excess energy over the best structure of this formula in the dataset: 0 meV/atom
- Total moment: 3.809 μB per cell
- Calculated total energy: -12.46 eV/cell

Cell: 5.6540 5.6540 5.6540 Å, 60.00 60.00 60.00°
Sites, in units of the cell vectors:
Na (0.2500, 0.2500, 0.2500)
Na (0.7500, 0.7500, 0.7500)
Ba (0.0000, 0.0000, 0.0000)
W (0.5000, 0.5000, 0.5000)

5.
Entry from Alexandria: a relaxed BaNa2W crystal (GGA-PBE).

Results
- Crystal system: tetragonal
- Space-group type: I-42d (122)
- Excess energy over the best structure of this formula in the dataset: 38 meV/atom
- Total moment: 7.994 μB per cell
- Calculated total energy: -24.62 eV/cell

Cell: 4.7856 4.7856 12.8897 Å, 79.30 79.30 90.00°
Sites, in units of the cell vectors:
Na (0.6689, 0.1250, 0.2500)
Na (0.0811, 0.6250, 0.2500)
Na (0.3750, 0.3311, 0.7500)
Na (0.8750, 0.9189, 0.7500)
Ba (0.5000, 0.5000, 0.0000)
Ba (0.2500, 0.7500, 0.5000)
W (0.0000, 0.0000, 0.0000)
W (0.7500, 0.2500, 0.5000)

6.
Entry from Alexandria: a relaxed BaNa3W crystal (GGA-PBE).

Results
- Crystal system: cubic
- Space-group type: Pm-3m (221)
- Excess energy over the best structure of this formula in the dataset: 0 meV/atom
- Total moment: 4.448 μB per cell
- Calculated total energy: -12.65 eV/cell

Cell: 5.9514 5.9514 5.9514 Å, 90.00 90.00 90.00°
Sites, in units of the cell vectors:
Na (0.0000, 0.5000, 0.0000)
Na (0.0000, 0.0000, 0.5000)
Na (0.5000, 0.0000, 0.0000)
Ba (0.5000, 0.5000, 0.5000)
W (0.0000, 0.0000, 0.0000)